*w*
VSeF2: optimized geometry, PBE with a Hubbard U.

Cell: 9.852 9.852 9.852 Å, 18.20 18.20 18.20°
Fractional coordinates of all 4 atoms:
1 V 0.000 0.000 0.000
2 Se 0.500 0.500 0.500
3 F 0.370 0.370 0.370
4 F 0.630 0.630 0.630

---

*x*
VSeF2: optimized geometry, PBE with a Hubbard U.

Cell: 4.294 4.294 4.294 Å, 60.00 60.00 60.00°
Fractional coordinates of all 4 atoms:
1 V 0.000 0.000 0.000
2 Se 0.500 0.500 0.500
3 F 0.250 0.250 0.250
4 F 0.750 0.750 0.750

---

Ranking the structures above by energy, *w* is first and the second is 1103 meV per atom behind.